No. 1
A plane-wave DFT calculation with meta-GGA SCAN was carried out for TlIr3Ru at its PBEsol-relaxed geometry.

The total magnetization is 0.00 μB/cell. The calculation puts the energy of formation from the pure elements at 846 kJ/mol of formula units. As for the density of states at the Fermi level: 4.641 states/eV/f.u. The calculated volume comes out at 102.16 Å³ per cell.

The space group is Pm-3m (No. 221) and the conventional cell measures 4.675, 4.675 and 4.675 Å, with angles of 90.00, 90.00 and 90.00 degrees. The inequivalent atoms are Tl at (0.000, 0.000, 0.000), Ir at (0.000, 0.500, 0.500) and Ru at (0.500, 0.500, 0.500).


No. 2
A plane-wave DFT calculation with meta-GGA SCAN was carried out for CrRu2 at its PBEsol-relaxed geometry.

The total magnetization is 0.02 μB/cell. The calculation puts the energy of formation from the pure elements at 15 kJ/mol of formula units. As for the density of states at the Fermi level: 1.383 states/eV/f.u. The calculated volume comes out at 153.24 Å³ per cell.

The space group is Pnma (No. 62) and the conventional cell measures 5.136, 4.004 and 7.451 Å, with angles of 90.00, 90.00 and 90.00 degrees. The inequivalent atoms are Cr at (0.217, 0.250, 0.109), Ru at (0.037, 0.250, 0.786) and Ru at (0.187, 0.250, 0.435).


No. 3
A plane-wave DFT calculation with meta-GGA SCAN was carried out for Tc24Mo5 at its PBEsol-relaxed geometry.

The total magnetization is 0.00 μB/cell. The calculation puts the energy of formation from the pure elements at -87 kJ/mol of formula units. As for the density of states at the Fermi level: 31.288 states/eV/f.u. The calculated volume comes out at 836.96 Å³ per cell.

The space group is I-43m (No. 217) and the conventional cell measures 9.424, 9.424 and 9.424 Å, with angles of 90.00, 90.00 and 90.00 degrees. The inequivalent atoms are Tc at (0.042, 0.358, 0.358), Tc at (0.090, 0.090, 0.283), Mo at (0.000, 0.000, 0.000) and Mo at (0.182, 0.182, 0.818).


Repeat the third record exactly.
A plane-wave DFT calculation with meta-GGA SCAN was carried out for Tc24Mo5 at its PBEsol-relaxed geometry.

The total magnetization is 0.00 μB/cell. The calculation puts the energy of formation from the pure elements at -87 kJ/mol of formula units. As for the density of states at the Fermi level: 31.288 states/eV/f.u. The calculated volume comes out at 836.96 Å³ per cell.

The space group is I-43m (No. 217) and the conventional cell measures 9.424, 9.424 and 9.424 Å, with angles of 90.00, 90.00 and 90.00 degrees. The inequivalent atoms are Tc at (0.042, 0.358, 0.358), Tc at (0.090, 0.090, 0.283), Mo at (0.000, 0.000, 0.000) and Mo at (0.182, 0.182, 0.818).